(1)
# NpTcSb2

NpTcSb2 after structural relaxation (PBE-GGA, Alexandria).

Results
The formation energy (no corrections) comes out at 0.190 eV/atom. For the relative energy among the computed polymorphs, the calculation gives 216 meV per atom. As for the total moment: 3.61 μB/f.u.

Structure (CIF):
```
data_NpTcSb2
_chemical_formula_sum 'Np3 Tc3 Sb6'
_symmetry_space_group_name_H-M 'R -3 m'
_symmetry_Int_Tables_number 166
_symmetry_space_group_name_Hall '-R 3 2"'
_cell_length_a 5.1376
_cell_length_b 5.1376
_cell_length_c 11.5138
_cell_angle_alpha 90.00
_cell_angle_beta 90.00
_cell_angle_gamma 120.00
loop_
_atom_site_label
_atom_site_fract_x
_atom_site_fract_y
_atom_site_fract_z
Np1 0.0000 0.0000 0.0000
Tc1 0.0000 0.0000 0.5000
Sb1 0.0000 0.0000 0.2585
```



(2)
# NpTcSb2

NpTcSb2 after structural relaxation (PBE-GGA, Alexandria).

Results
The formation energy (no corrections) comes out at 0.007 eV/atom. For the relative energy among the computed polymorphs, the calculation gives 33 meV per atom. As for the total moment: 4.81 μB/f.u.

Structure (CIF):
```
data_NpTcSb2
_chemical_formula_sum 'Np1 Tc1 Sb2'
_symmetry_space_group_name_H-M 'P 4/m m m'
_symmetry_Int_Tables_number 123
_symmetry_space_group_name_Hall '-P 4 2'
_cell_length_a 3.3063
_cell_length_b 3.3063
_cell_length_c 7.7488
_cell_angle_alpha 90.00
_cell_angle_beta 90.00
_cell_angle_gamma 90.00
loop_
_atom_site_label
_atom_site_fract_x
_atom_site_fract_y
_atom_site_fract_z
Np1 0.0000 0.0000 0.0000
Tc1 0.0000 0.0000 0.5000
Sb1 0.5000 0.5000 0.2914
```



(3)
# NpTc2Sb

NpTc2Sb after structural relaxation (PBE-GGA, Alexandria).

Results
The formation energy (no corrections) comes out at 0.021 eV/atom. For the relative energy among the computed polymorphs, the calculation gives 42 meV per atom. As for the total moment: 2.16 μB/f.u.

Structure (CIF):
```
data_NpTc2Sb
_chemical_formula_sum 'Np1 Tc2 Sb1'
_symmetry_space_group_name_H-M 'P 4/m m m'
_symmetry_Int_Tables_number 123
_symmetry_space_group_name_Hall '-P 4 2'
_cell_length_a 4.5508
_cell_length_b 4.5508
_cell_length_c 3.4975
_cell_angle_alpha 90.00
_cell_angle_beta 90.00
_cell_angle_gamma 90.00
loop_
_atom_site_label
_atom_site_fract_x
_atom_site_fract_y
_atom_site_fract_z
Np1 0.0000 0.0000 0.0000
Tc1 0.0000 0.5000 0.5000
Sb1 0.5000 0.5000 0.0000
```



(4)
# Np3Tc5Sb12

Np3Tc5Sb12 after structural relaxation (PBE-GGA, Alexandria).

Results
The formation energy (no corrections) comes out at 0.373 eV/atom. As for the total moment: 11.21 μB/f.u.

Structure (CIF):
```
data_Np3Tc5Sb12
_chemical_formula_sum 'Np24 Tc40 Sb96'
_symmetry_space_group_name_H-M 'I a -3 d'
_symmetry_Int_Tables_number 230
_symmetry_space_group_name_Hall '-I 4bd 2c 3'
_cell_length_a 16.5272
_cell_length_b 16.5272
_cell_length_c 16.5272
_cell_angle_alpha 90.00
_cell_angle_beta 90.00
_cell_angle_gamma 90.00
loop_
_atom_site_label
_atom_site_fract_x
_atom_site_fract_y
_atom_site_fract_z
Np1 0.0000 0.2500 0.1250
Tc1 0.0000 0.0000 0.0000
Tc2 0.0000 0.2500 0.3750
Sb1 0.0361 0.0661 0.6443
```



Repeat the first record exactly.
# NpTcSb2

NpTcSb2 after structural relaxation (PBE-GGA, Alexandria).

Results
The formation energy (no corrections) comes out at 0.190 eV/atom. For the relative energy among the computed polymorphs, the calculation gives 216 meV per atom. As for the total moment: 3.61 μB/f.u.

Structure (CIF):
```
data_NpTcSb2
_chemical_formula_sum 'Np3 Tc3 Sb6'
_symmetry_space_group_name_H-M 'R -3 m'
_symmetry_Int_Tables_number 166
_symmetry_space_group_name_Hall '-R 3 2"'
_cell_length_a 5.1376
_cell_length_b 5.1376
_cell_length_c 11.5138
_cell_angle_alpha 90.00
_cell_angle_beta 90.00
_cell_angle_gamma 120.00
loop_
_atom_site_label
_atom_site_fract_x
_atom_site_fract_y
_atom_site_fract_z
Np1 0.0000 0.0000 0.0000
Tc1 0.0000 0.0000 0.5000
Sb1 0.0000 0.0000 0.2585
```



Question: Which formula does entry 4 have?
Answer: Np3Tc5Sb12